Record 1
# PmPu2Mn

A geometry-optimized PmPu2Mn structure (PBE-GGA, the Alexandria database).

## Properties
The crystal system is trigonal. The calculation puts the energy above the most stable polymorph in this dataset at 1.518 eV per formula unit. Its density of states at the Fermi level is 8.105 states/eV per cell. For the formation energy from the elements, the calculation gives 534 meV/atom. The value obtained for the total energy is -10.112 eV per atom.

Cell lengths 6.056, 6.056, 6.056 Å; angles 41.42, 41.42, 41.42 degrees
Positions (direct):
1 Pm 0.000 0.000 0.000
2 Pu 0.176 0.176 0.176
3 Pu 0.824 0.824 0.824
4 Mn 0.500 0.500 0.500

=====

Record 2
# PmPuMn

A geometry-optimized PmPuMn structure (PBE-GGA, the Alexandria database).

## Properties
The crystal system is tetragonal. The calculation puts the energy above the most stable polymorph in this dataset at 0.000 eV per formula unit. Its density of states at the Fermi level is 5.678 states/eV per cell. For the formation energy from the elements, the calculation gives 159 meV/atom. The value obtained for the total energy is -9.258 eV per atom.

Cell lengths 6.210, 6.210, 6.210 Å; angles 147.35, 147.35, 46.85 degrees
Positions (direct):
1 Pm 0.000 0.000 0.000
2 Pu 0.288 0.288 0.000
3 Mn 0.684 0.684 0.000

=====

Record 3
# PmPu2Mn

A geometry-optimized PmPu2Mn structure (PBE-GGA, the Alexandria database).

## Properties
The crystal system is tetragonal. The calculation puts the energy above the most stable polymorph in this dataset at 0.000 eV per formula unit. Its density of states at the Fermi level is 11.279 states/eV per cell. For the formation energy from the elements, the calculation gives 155 meV/atom. The value obtained for the total energy is -10.491 eV per atom.

Cell lengths 3.358, 3.358, 8.732 Å; angles 90.00, 90.00, 90.00 degrees
Positions (direct):
1 Pm 0.000 0.000 0.000
2 Pu 0.500 0.500 0.310
3 Pu 0.500 0.500 0.690
4 Mn 0.000 0.000 0.500

=====

Record 4
# PmPuMnRu

A geometry-optimized PmPuMnRu structure (PBE-GGA, the Alexandria database).

## Properties
The crystal system is cubic. Its density of states at the Fermi level is 5.869 states/eV per cell. For the formation energy from the elements, the calculation gives 21 meV/atom. The value obtained for the total energy is -9.361 eV per atom.

Cell lengths 4.895, 4.895, 4.895 Å; angles 60.00, 60.00, 60.00 degrees
Positions (direct):
1 Pm 0.000 0.000 0.000
2 Pu 0.500 0.500 0.500
3 Mn 0.250 0.250 0.250
4 Ru 0.750 0.750 0.750